No. 1
Material: NiPt3W
Method: DFT, PBE
State: optimized geometry

The structure in POSCAR format:
```
NiPt3W
1.0
-2.6650 3.9976 -0.2930
-4.0035 -2.6719 -0.0400
-0.1958 0.2216 4.8043
Pt Ni W
3 1 1
Direct
0.0000 0.0000 0.5000
0.0000 0.5000 0.0000
0.5000 0.0000 0.0000
0.5000 0.5000 0.5000
0.0000 0.0000 0.0000
```

Properties
As for the calculated formation energy: 1.451 eV per atom. The total energy is -5.920 eV/atom. For the mass density, the calculation gives 12.326 Mg/m³. The value obtained for the total magnetization is 0.000 μB per atom.

No. 2
Material: LaAg2
Method: DFT, PBE
State: optimized geometry

The structure in POSCAR format:
```
LaAg2
1.0
-3.4087 5.1863 2.9738
-5.0236 1.4836 4.4635
10.1724 -5.1332 -1.7316
Ag La
4 2
Direct
0.9676 0.9676 0.9398
0.4769 0.4769 0.4491
0.2228 0.2228 0.5740
0.2216 0.2216 0.8149
0.7225 0.7225 0.0190
0.7220 0.7220 0.3699
```

Properties
As for the calculated formation energy: -0.191 eV per atom. The total energy is -3.734 eV/atom. For the mass density, the calculation gives 7.707 Mg/m³. The value obtained for the total magnetization is 0.000 μB per atom.